[1]
A plane-wave DFT calculation with GGA-PBE was carried out for a relaxed Er5Zn2Cu2 crystal.

Cell lengths 16.3295, 7.0625, 7.2074 Å; angles 90.00, 90.00, 90.00 degrees
Space group Cmce (No. 64)
Asymmetric unit:
Er: 0.0000 0.0000 0.0000
Er: 0.1371 0.1841 0.3214
Zn: 0.2220 0.0000 0.0000
Cu: 0.0000 0.1176 0.6231

Results
crystal system: orthorhombic
density of states at the Fermi level: 36.36 states/eV per cell
total moment: 0.00 μB/atom

---

[2]
A plane-wave DFT calculation with GGA-PBE was carried out for a relaxed ErZnCu5 crystal.

Cell lengths 8.0419, 5.0071, 10.1458 Å; angles 90.00, 90.00, 90.00 degrees
Space group Pnma (No. 62)
Asymmetric unit:
Er: 0.2431 0.2500 0.0631
Zn: 0.1415 0.7500 0.8581
Cu: 0.0610 0.7500 0.0945
Cu: 0.0660 0.0063 0.3089
Cu: 0.0954 0.2500 0.5169
Cu: 0.1840 0.2500 0.7530

Results
crystal system: orthorhombic
density of states at the Fermi level: 13.72 states/eV per cell
total moment: 0.00 μB/atom

---

[3]
A plane-wave DFT calculation with GGA-PBE was carried out for a relaxed Er3ZnCu2 crystal.

Cell lengths 3.4653, 3.4653, 10.4214 Å; angles 90.00, 90.00, 90.00 degrees
Space group P4/mmm (No. 123)
Asymmetric unit:
Er: 0.0000 0.0000 0.0000
Er: 0.0000 0.0000 0.3281
Zn: 0.5000 0.5000 0.5000
Cu: 0.5000 0.5000 0.1668

Results
crystal system: tetragonal
density of states at the Fermi level: 3.73 states/eV per cell
total moment: 0.00 μB/atom

---

[4]
A plane-wave DFT calculation with GGA-PBE was carried out for a relaxed ErZn4Cu2 crystal.

Cell lengths 4.9938, 6.5581, 6.6235 Å; angles 90.00, 90.00, 90.00 degrees
Space group Immm (No. 71)
Asymmetric unit:
Er: 0.0000 0.0000 0.0000
Zn: 0.0000 0.3056 0.3072
Cu: 0.2491 0.5000 0.0000

Results
crystal system: orthorhombic
density of states at the Fermi level: 3.70 states/eV per cell
total moment: 0.00 μB/atom
relative energy among the computed polymorphs: 0 meV/atom

---

[5]
A plane-wave DFT calculation with GGA-PBE was carried out for a relaxed Er5ZnCu2 crystal.

Cell lengths 7.7357, 7.7357, 12.6517 Å; angles 90.00, 90.00, 90.00 degrees
Space group I4/mcm (No. 140)
Asymmetric unit:
Er: 0.0000 0.0000 0.0000
Er: 0.1590 0.3410 0.1441
Zn: 0.0000 0.0000 0.2500
Cu: 0.1267 0.3733 0.5000

Results
crystal system: tetragonal
density of states at the Fermi level: 36.70 states/eV per cell
total moment: 0.00 μB/atom

---

[6]
A plane-wave DFT calculation with GGA-PBE was carried out for a relaxed Er4ZnCu crystal.

Cell lengths 3.4791, 3.4791, 12.2190 Å; angles 90.00, 90.00, 90.00 degrees
Space group P4/mmm (No. 123)
Asymmetric unit:
Er: 0.0000 0.0000 0.1388
Er: 0.5000 0.5000 0.3554
Zn: 0.0000 0.0000 0.5000
Cu: 0.5000 0.5000 0.0000

Results
crystal system: tetragonal
density of states at the Fermi level: 8.35 states/eV per cell
total moment: 0.00 μB/atom
relative energy among the computed polymorphs: 0 meV/atom

---

[7]
A plane-wave DFT calculation with GGA-PBE was carried out for a relaxed Er2ZnCu6 crystal.

Cell lengths 5.4432, 5.4432, 5.5764 Å; angles 90.00, 90.00, 120.00 degrees
Space group P-3m1 (No. 164)
Asymmetric unit:
Er: 0.3333 0.6667 0.3470
Zn: 0.0000 0.0000 0.5000
Cu: 0.1793 0.3586 0.8373

Results
crystal system: trigonal
density of states at the Fermi level: 4.44 states/eV per cell
total moment: 0.00 μB/atom

---

[8]
A plane-wave DFT calculation with GGA-PBE was carried out for a relaxed Er2Zn5Cu12 crystal.

Cell lengths 8.6177, 8.6177, 12.7268 Å; angles 90.00, 90.00, 120.00 degrees
Space group R-3m (No. 166, hexagonal axes)
Asymmetric unit:
Er: 0.0000 0.0000 0.1480
Zn: 0.0000 0.0000 0.4007
Zn: 0.0000 0.5000 0.0000
Cu: 0.0000 0.3036 0.5000
Cu: 0.0044 0.5022 0.6537

Results
crystal system: trigonal
density of states at the Fermi level: 29.84 states/eV per cell
total moment: 0.00 μB/atom

---

[9]
A plane-wave DFT calculation with GGA-PBE was carried out for a relaxed ErZn2Cu9 crystal.

Cell lengths 10.0719, 10.0719, 6.5742 Å; angles 90.00, 90.00, 90.00 degrees
Space group I4_1/amd (No. 141, origin choice 2)
Asymmetric unit:
Er: 0.0000 0.2500 0.3750
Zn: 0.0000 0.0000 0.0000
Cu: 0.0000 0.2500 0.8750
Cu: 0.1220 0.0428 0.6780

Results
crystal system: tetragonal
density of states at the Fermi level: 18.59 states/eV per cell
total moment: 0.00 μB/atom
relative energy among the computed polymorphs: 0 meV/atom

---

[10]
A plane-wave DFT calculation with GGA-PBE was carried out for a relaxed Er4Zn2Cu crystal.

Cell lengths 6.9409, 6.9409, 6.9810 Å; angles 90.00, 90.00, 90.00 degrees
Space group I4/mmm (No. 139)
Asymmetric unit:
Er: 0.2500 0.2500 0.2500
Zn: 0.0000 0.5000 0.0000
Cu: 0.0000 0.0000 0.0000

Results
crystal system: tetragonal
density of states at the Fermi level: 12.03 states/eV per cell
total moment: 0.00 μB/atom

---

So what do the calculations give for DFT formation energy? Going down the list: -19.3, -19.6, -29.1, -22.2, -17.9, -17.0, -20.0, -15.8, -10.7, -17.3 kJ per mole of atoms.